# UGeMo2, optimized geometry, DFT GGA-PBE
data_UGeMo2
_chemical_formula_sum 'U1 Ge1 Mo2'
_symmetry_space_group_name_H-M 'P 4/m m m'
_symmetry_Int_Tables_number 123
_symmetry_space_group_name_Hall '-P 4 2'
_cell_length_a 3.734
_cell_length_b 3.734
_cell_length_c 5.473
_cell_angle_alpha 90.00
_cell_angle_beta 90.00
_cell_angle_gamma 90.00
loop_
_atom_site_label
_atom_site_type_symbol
_atom_site_fract_x
_atom_site_fract_y
_atom_site_fract_z
U1 U 0.000 0.000 0.000
Ge1 Ge 0.500 0.500 0.500
Mo1 Mo 0.000 0.000 0.500
Mo2 Mo 0.500 0.500 0.000
# crystal system: tetragonal
# electronic total energy: -8.6498 eV per atom
# M_tot: 0.0 μB per formula unit